No. 1
Density functional theory data (GGA-PBE) for crystalline Zr2SeS2 at its relaxed geometry.

Computed properties:
- ρ (g cm⁻³) = 5.06
- energy relative to the lowest polymorph listed for this composition (eV/atom) = 0.000
- density of states at the Fermi level (states/eV/cell) = 4.9
- E_form (uncorrected) (eV/atom) = -1.495

```
10
Lattice="3.223 -5.533 0.000 3.223 5.533 0.000 -2.257 0.000 5.995" Properties=species:S:1:pos:R:3 pbc="T T T"
Zr 1.524 0.959 0.016
Zr 0.396 -0.959 3.013
Zr 3.793 0.959 2.982
Zr 2.664 -0.959 5.980
Se 1.530 1.074 4.496
Se 2.659 -1.074 1.499
S 1.530 4.547 4.496
S 2.659 2.743 1.499
S 1.530 -2.743 4.496
S 2.659 -4.547 1.499
```

---

No. 2
Density functional theory data (GGA-PBE) for crystalline Zr4SeS5 at its relaxed geometry.

Computed properties:
- ρ (g cm⁻³) = 4.51
- density of states at the Fermi level (states/eV/cell) = 4.6
- E_form (uncorrected) (eV/atom) = -1.447

```
10
Lattice="8.089 -1.846 0.000 8.089 1.846 0.000 -1.591 0.000 7.458" Properties=species:S:1:pos:R:3 pbc="T T T"
Zr -0.324 0.000 1.701
Zr 4.567 0.000 3.181
Zr 10.019 0.000 4.277
Zr 14.910 0.000 5.758
Se 7.293 0.000 3.729
S 1.288 0.000 6.000
S 2.177 0.000 2.374
S 8.089 0.000 0.000
S 12.409 0.000 5.084
S 13.299 0.000 1.458
```